Entry from Alexandria via LeMat-Bulk: a relaxed NpCuBr6 crystal (PBE-GGA).

## Properties
ρ = 5.15 Mg/m³
Fermi-level density of states = 7.12 states/eV/f.u.
V = 31.45 Å³/atom
energy above the most stable polymorph in this dataset = 25.9 meV per atom

Cell: 6.8604 6.8610 7.3353 Å, 62.10 62.11 60.00°
Site moments in Bohr magnetons follow the coordinates.
Positions (direct):
Np (0.0000, 0.0000, 0.0000)  2.86
Cu (0.5000, 0.5000, 0.5000)  -0.22
Br (0.1149, 0.3925, 0.7452)  -0.10
Br (0.7473, 0.1150, 0.7452)  -0.10
Br (0.6074, 0.2527, 0.2548)  -0.10
Br (0.2527, 0.8850, 0.2548)  -0.10
Br (0.8851, 0.6075, 0.2548)  -0.10
Br (0.3926, 0.7473, 0.7452)  -0.10


Entry from Alexandria via LeMat-Bulk: a relaxed Ti8In2Ga3 crystal (PBE-GGA).

## Properties
ρ = 5.42 Mg/m³
Fermi-level density of states = 14.18 states/eV/f.u.
V = 19.36 Å³/atom
energy of formation from the pure elements = 0.070 eV/atom

Cell: 3.8451 8.7910 8.6462 Å, 120.56 90.00 90.00°
Site moments in Bohr magnetons follow the coordinates.
Positions (direct):
Ti (0.0000, 0.5932, 0.1865)  0.89
Ti (0.0000, 0.4068, 0.8135)  0.89
Ti (0.0000, 0.1264, 0.2527)  -0.15
Ti (0.0000, 0.8736, 0.7473)  -0.15
Ti (0.5000, 0.6326, 0.7488)  0.33
Ti (0.5000, 0.1162, 0.7488)  0.33
Ti (0.5000, 0.8838, 0.2512)  0.33
Ti (0.5000, 0.3674, 0.2512)  0.33
In (0.5000, 0.2632, 0.5264)  0.01
In (0.5000, 0.7368, 0.4736)  0.01
Ga (0.5000, 0.0000, 0.0000)  0.00
Ga (0.0000, 0.2355, 0.0000)  -0.01
Ga (0.0000, 0.7645, 0.0000)  -0.01


Entry from Alexandria via LeMat-Bulk: a relaxed FeCoSn3 crystal (PBE-GGA).

## Properties
ρ = 6.91 Mg/m³
Fermi-level density of states = 9.16 states/eV/f.u.
V = 22.64 Å³/atom
energy above the most stable polymorph in this dataset = 0.0 meV per atom
energy of formation from the pure elements = 0.599 eV/atom

Cell: 4.8373 4.8373 4.8373 Å, 90.00 90.00 90.00°
Site moments in Bohr magnetons follow the coordinates.
Positions (direct):
Co (0.0000, 0.0000, 0.0000)  -0.27
Sn (0.0000, 0.5000, 0.0000)  -0.04
Sn (0.0000, 0.0000, 0.5000)  -0.03
Sn (0.5000, 0.0000, 0.0000)  -0.01
Fe (0.5000, 0.5000, 0.5000)  3.06


Entry from Alexandria via LeMat-Bulk: a relaxed SmBe2Ir2 crystal (PBE-GGA).

## Properties
ρ = 11.96 Mg/m³
Fermi-level density of states = 2.17 states/eV/f.u.
V = 15.36 Å³/atom
energy above the most stable polymorph in this dataset = 64.4 meV per atom
energy of formation from the pure elements = -0.575 eV/atom

Cell: 4.0412 4.0412 9.4060 Å, 90.00 90.00 88.67°
Positions (direct):
Sm (0.7672, 0.7672, 0.2500)
Sm (0.2328, 0.2328, 0.7500)
Be (0.2077, 0.7923, 0.0000)
Be (0.7923, 0.2077, 0.5000)
Be (0.2077, 0.7923, 0.5000)
Be (0.7923, 0.2077, 0.0000)
Ir (0.7067, 0.7067, 0.6098)
Ir (0.2933, 0.2933, 0.1098)
Ir (0.7067, 0.7067, 0.8902)
Ir (0.2933, 0.2933, 0.3902)